# 1
# Dy6FeTe2

A crystal of Dy6FeTe2 relaxed with PBEsol (meta-GGA SCAN, the Alexandria database).

abc: 8.1758 8.1758 3.8808
angles: 90.00 90.00 120.00
Space group P-62m (No. 189)
Inequivalent atoms, fractional coordinates:
Dy (0.0000, 0.3970, 0.0000) [3 per cell]
Dy (0.0000, 0.7648, 0.5000) [3 per cell]
Fe (0.0000, 0.0000, 0.0000) [1 per cell]
Te (0.3333, 0.6667, 0.5000) [2 per cell]

Values from the calculation:
E_form (uncorrected)	-5.9	eV per formula unit

---

# 2
# Be2AlW

A crystal of Be2AlW relaxed with PBEsol (meta-GGA SCAN, the Alexandria database).

abc: 3.708 4.172 6.117
angles: 90.00 90.00 90.00
Space group Cmm2 (No. 35)
Inequivalent atoms, fractional coordinates:
Be (0.000, 0.000, 0.000) [2 per cell]
Be (0.000, 0.500, 0.157) [2 per cell]
Al (0.000, 0.500, 0.737) [2 per cell]
W (0.000, 0.000, 0.419) [2 per cell]

Values from the calculation:
ΔE_f	177	meV/atom

---

# 3
# Na3SbO3

A crystal of Na3SbO3 relaxed with PBEsol (meta-GGA SCAN, the Alexandria database).

abc: 9.480 9.480 9.480
angles: 90.00 90.00 90.00
Space group I-43m (No. 217)
Inequivalent atoms, fractional coordinates:
Na (0.103, 0.378, 0.378) [24 per cell]
Sb (0.143, 0.143, 0.143) [8 per cell]
O (0.129, 0.129, 0.350) [24 per cell]

Values from the calculation:
E_form (uncorrected)	-11.9	eV per formula unit

---

| no. | calculated total energy (eV per atom) |
| --- | --- |
| 1 | -42.8168 |
| 2 | -21.3596 |
| 3 | -11.5069 |